(1)
Compound: SmPuPtAu
Source: the Alexandria database
Functional: GGA-PBE
Structure: optimized geometry

```
data_SmPuPtAu
_space_group_name_H-M_alt 'A m m 2'
_space_group_IT_number 38
_cell_length_a 4.4980
_cell_length_b 3.8917
_cell_length_c 11.0746
_cell_angle_alpha 90.00
_cell_angle_beta 90.00
_cell_angle_gamma 90.00
loop_
_space_group_symop_operation_xyz
'x,y,z'
'-x,-y,z'
'-x,y,z'
'x,-y,z'
'x,y+1/2,z+1/2'
'-x,-y+1/2,z+1/2'
'-x,y+1/2,z+1/2'
'x,-y+1/2,z+1/2'
loop_
_atom_site_label
_atom_site_fract_x
_atom_site_fract_y
_atom_site_fract_z
_atom_site_occupancy
Sm1 0.0000 0.0000 0.0000 1
Pu1 0.5000 0.0000 0.7232 1
Pt1 0.0000 0.0000 0.2664 1
Au1 0.5000 0.0000 0.4446 1
```

Output
Energy above the lowest structure with this stoichiometry = 0 meV/atom
Total magnetization = 11.1 μB per cell
E_tot = -63.1 eV for the cell shown


(2)
Compound: YTiAl2
Source: the Alexandria database
Functional: GGA-PBE
Structure: optimized geometry

```
data_YTiAl2
_space_group_name_H-M_alt 'I -4 2 d'
_space_group_IT_number 122
_space_group_name_Hall 'I -4 2bw'
_cell_length_a 4.4649
_cell_length_b 4.4649
_cell_length_c 19.3056
_cell_angle_alpha 90.00
_cell_angle_beta 90.00
_cell_angle_gamma 90.00
loop_
_atom_site_label
_atom_site_fract_x
_atom_site_fract_y
_atom_site_fract_z
_atom_site_occupancy
Y1 0.0000 0.0000 0.0000 1
Ti1 0.0000 0.0000 0.5000 1
Al1 0.1570 0.2500 0.6250 1
```

Output
Energy above the lowest structure with this stoichiometry = 652 meV/atom
Total magnetization = 5.9 μB per cell
E_tot = -82.1 eV for the cell shown


(3)
Compound: AcHo6Er8
Source: the Alexandria database
Functional: GGA-PBE
Structure: optimized geometry

```
data_AcHo6Er8
_space_group_name_H-M_alt 'P -3'
_space_group_IT_number 147
_cell_length_a 9.4841
_cell_length_b 9.4841
_cell_length_c 6.3591
_cell_angle_alpha 90.00
_cell_angle_beta 90.00
_cell_angle_gamma 120.00
loop_
_space_group_symop_operation_xyz
'x,y,z'
'-x,-y,-z'
'-y,x-y,z'
'y,-x+y,-z'
'-x+y,-x,z'
'x-y,x,-z'
loop_
_atom_site_label
_atom_site_fract_x
_atom_site_fract_y
_atom_site_fract_z
_atom_site_occupancy
Ac1 0.0000 0.0000 0.0000 1
Ho1 0.1096 0.4278 0.9148 1
Er1 0.0244 0.6841 0.5855 1
Er2 0.3333 0.6667 0.3474 1
```

Output
Total magnetization = 0.0 μB per cell
E_tot = -64.8 eV for the cell shown


(4)
Compound: Ho3LuS
Source: the Alexandria database
Functional: GGA-PBE
Structure: optimized geometry

```
data_Ho3LuS
_space_group_name_H-M_alt 'P m -3 m'
_space_group_IT_number 221
_space_group_name_Hall '-P 4 2 3'
_cell_length_a 5.2501
_cell_length_b 5.2501
_cell_length_c 5.2501
_cell_angle_alpha 90.00
_cell_angle_beta 90.00
_cell_angle_gamma 90.00
loop_
_atom_site_label
_atom_site_fract_x
_atom_site_fract_y
_atom_site_fract_z
_atom_site_occupancy
Ho1 0.0000 0.0000 0.5000 1
Lu1 0.5000 0.5000 0.5000 1
S1 0.0000 0.0000 0.0000 1
```

Output
Total magnetization = 0.0 μB per cell
E_tot = -25.5 eV for the cell shown
Raw formation energy = -630 meV/atom


(5)
Compound: LaInGa2Ag
Source: the Alexandria database
Functional: GGA-PBE
Structure: optimized geometry

```
data_LaInGa2Ag
_space_group_name_H-M_alt 'I -4 m 2'
_space_group_IT_number 119
_space_group_name_Hall 'I -4 -2'
_cell_length_a 4.4251
_cell_length_b 4.4251
_cell_length_c 11.3989
_cell_angle_alpha 90.00
_cell_angle_beta 90.00
_cell_angle_gamma 90.00
loop_
_atom_site_label
_atom_site_fract_x
_atom_site_fract_y
_atom_site_fract_z
_atom_site_occupancy
La1 0.0000 0.0000 0.0000 1
In1 0.0000 0.5000 0.2500 1
Ga1 0.0000 0.0000 0.3917 1
Ag1 0.0000 0.5000 0.7500 1
```

Output
Total magnetization = 0.0 μB per cell
E_tot = -37.8 eV for the cell shown


(6)
Compound: NaEuSe2
Source: the Alexandria database
Functional: GGA-PBE
Structure: optimized geometry

```
data_NaEuSe2
_space_group_name_H-M_alt 'P 4/m m m'
_space_group_IT_number 123
_space_group_name_Hall '-P 4 2'
_cell_length_a 4.2778
_cell_length_b 4.2778
_cell_length_c 5.9416
_cell_angle_alpha 90.00
_cell_angle_beta 90.00
_cell_angle_gamma 90.00
loop_
_atom_site_label
_atom_site_fract_x
_atom_site_fract_y
_atom_site_fract_z
_atom_site_occupancy
Na1 0.0000 0.0000 0.0000 1
Eu1 0.5000 0.5000 0.5000 1
Se1 0.0000 0.0000 0.5000 1
Se2 0.5000 0.5000 0.0000 1
```

Output
Total magnetization = 6.0 μB per cell
E_tot = -24.1 eV for the cell shown
Raw formation energy = -1383 meV/atom


(7)
Compound: SrHo2OsO8
Source: the Alexandria database
Functional: GGA-PBE
Structure: optimized geometry

```
data_SrHo2OsO8
_space_group_name_H-M_alt 'C m m m'
_space_group_IT_number 65
_space_group_name_Hall '-C 2 2'
_cell_length_a 7.0932
_cell_length_b 7.2728
_cell_length_c 6.9817
_cell_angle_alpha 90.00
_cell_angle_beta 90.00
_cell_angle_gamma 90.00
loop_
_atom_site_label
_atom_site_fract_x
_atom_site_fract_y
_atom_site_fract_z
_atom_site_occupancy
Sr1 0.0000 0.0000 0.0000 1
Ho1 0.0000 0.5000 0.2408 1
Os1 0.0000 0.0000 0.5000 1
O1 0.0000 0.2606 0.5000 1
O2 0.0000 0.3219 0.0000 1
O3 0.1862 0.0000 0.3099 1
```

Output
Total magnetization = 0.0 μB per cell
E_tot = -178.8 eV for the cell shown
Raw formation energy = -2304 meV/atom


(8)
Compound: Ac4HoZn5
Source: the Alexandria database
Functional: GGA-PBE
Structure: optimized geometry

```
data_Ac4HoZn5
_space_group_name_H-M_alt 'P 4/m m m'
_space_group_IT_number 123
_space_group_name_Hall '-P 4 2'
_cell_length_a 3.8398
_cell_length_b 3.8398
_cell_length_c 19.1736
_cell_angle_alpha 90.00
_cell_angle_beta 90.00
_cell_angle_gamma 90.00
loop_
_atom_site_label
_atom_site_fract_x
_atom_site_fract_y
_atom_site_fract_z
_atom_site_occupancy
Ac1 0.0000 0.0000 0.1032 1
Ac2 0.0000 0.0000 0.3110 1
Ho1 0.0000 0.0000 0.5000 1
Zn1 0.5000 0.5000 0.0000 1
Zn2 0.5000 0.5000 0.2059 1
Zn3 0.5000 0.5000 0.4214 1
```

Output
Total magnetization = 0.0 μB per cell
E_tot = -29.9 eV for the cell shown


(9)
Compound: Na3LaHg
Source: the Alexandria database
Functional: GGA-PBE
Structure: optimized geometry

```
data_Na3LaHg
_space_group_name_H-M_alt 'P m -3 m'
_space_group_IT_number 221
_space_group_name_Hall '-P 4 2 3'
_cell_length_a 5.6662
_cell_length_b 5.6662
_cell_length_c 5.6662
_cell_angle_alpha 90.00
_cell_angle_beta 90.00
_cell_angle_gamma 90.00
loop_
_atom_site_label
_atom_site_fract_x
_atom_site_fract_y
_atom_site_fract_z
_atom_site_occupancy
Na1 0.0000 0.0000 0.5000 1
La1 0.5000 0.5000 0.5000 1
Hg1 0.0000 0.0000 0.0000 1
```

Output
Energy above the lowest structure with this stoichiometry = 0 meV/atom
Total magnetization = 0.9 μB per cell
E_tot = -7.8 eV for the cell shown


(10)
Compound: Ge3BTe
Source: the Alexandria database
Functional: GGA-PBE
Structure: optimized geometry

```
data_Ge3BTe
_space_group_name_H-M_alt 'P m -3 m'
_space_group_IT_number 221
_space_group_name_Hall '-P 4 2 3'
_cell_length_a 4.5658
_cell_length_b 4.5658
_cell_length_c 4.5658
_cell_angle_alpha 90.00
_cell_angle_beta 90.00
_cell_angle_gamma 90.00
loop_
_atom_site_label
_atom_site_fract_x
_atom_site_fract_y
_atom_site_fract_z
_atom_site_occupancy
Ge1 0.0000 0.0000 0.5000 1
B1 0.0000 0.0000 0.0000 1
Te1 0.5000 0.5000 0.5000 1
```

Output
Energy above the lowest structure with this stoichiometry = 0 meV/atom
Total magnetization = 0.0 μB per cell
E_tot = -20.8 eV for the cell shown
Raw formation energy = 580 meV/atom


(11)
Compound: La2Zn3Ga4Au
Source: the Alexandria database
Functional: GGA-PBE
Structure: optimized geometry

```
data_La2Zn3Ga4Au
_space_group_name_H-M_alt 'P -4 m 2'
_space_group_IT_number 115
_cell_length_a 4.3670
_cell_length_b 4.3670
_cell_length_c 10.6442
_cell_angle_alpha 90.00
_cell_angle_beta 90.00
_cell_angle_gamma 90.00
loop_
_space_group_symop_operation_xyz
'x,y,z'
'y,-x,-z'
'-x,-y,z'
'-y,x,-z'
'-x,y,z'
'-y,-x,-z'
'x,-y,z'
'y,x,-z'
loop_
_atom_site_label
_atom_site_fract_x
_atom_site_fract_y
_atom_site_fract_z
_atom_site_occupancy
La1 0.0000 0.5000 0.2486 1
Zn1 0.0000 0.5000 0.8681 1
Zn2 0.5000 0.5000 0.5000 1
Ga1 0.0000 0.0000 0.0000 1
Ga2 0.0000 0.5000 0.6349 1
Ga3 0.5000 0.5000 0.0000 1
Au1 0.0000 0.0000 0.5000 1
```

Output
Total magnetization = 0.0 μB per cell
E_tot = -34.6 eV for the cell shown


(12)
Compound: LiTb4Au5
Source: the Alexandria database
Functional: GGA-PBE
Structure: optimized geometry

```
data_LiTb4Au5
_space_group_name_H-M_alt 'P 4/m m m'
_space_group_IT_number 123
_space_group_name_Hall '-P 4 2'
_cell_length_a 3.5680
_cell_length_b 3.5680
_cell_length_c 17.4309
_cell_angle_alpha 90.00
_cell_angle_beta 90.00
_cell_angle_gamma 90.00
loop_
_atom_site_label
_atom_site_fract_x
_atom_site_fract_y
_atom_site_fract_z
_atom_site_occupancy
Li1 0.0000 0.0000 0.0000 1
Tb1 0.0000 0.0000 0.1820 1
Tb2 0.0000 0.0000 0.3946 1
Au1 0.5000 0.5000 0.0826 1
Au2 0.5000 0.5000 0.2902 1
Au3 0.5000 0.5000 0.5000 1
```

Output
Total magnetization = 0.0 μB per cell
E_tot = -44.7 eV for the cell shown


(13)
Compound: VPdAu2
Source: the Alexandria database
Functional: GGA-PBE
Structure: optimized geometry

```
data_VPdAu2
_space_group_name_H-M_alt 'P 4/m m m'
_space_group_IT_number 123
_space_group_name_Hall '-P 4 2'
_cell_length_a 4.1136
_cell_length_b 4.1136
_cell_length_c 3.9216
_cell_angle_alpha 90.00
_cell_angle_beta 90.00
_cell_angle_gamma 90.00
loop_
_atom_site_label
_atom_site_fract_x
_atom_site_fract_y
_atom_site_fract_z
_atom_site_occupancy
V1 0.0000 0.0000 0.0000 1
Pd1 0.5000 0.5000 0.0000 1
Au1 0.0000 0.5000 0.5000 1
```

Output
Energy above the lowest structure with this stoichiometry = 31 meV/atom
Total magnetization = 3.0 μB per cell
E_tot = -21.0 eV for the cell shown


(14)
Compound: PaCuIrO6
Source: the Alexandria database
Functional: GGA-PBE
Structure: optimized geometry

```
data_PaCuIrO6
_space_group_name_H-M_alt 'P -3 1 c'
_space_group_IT_number 163
_space_group_name_Hall '-P 3 2c'
_cell_length_a 5.3720
_cell_length_b 5.3720
_cell_length_c 8.8601
_cell_angle_alpha 90.00
_cell_angle_beta 90.00
_cell_angle_gamma 120.00
loop_
_atom_site_label
_atom_site_fract_x
_atom_site_fract_y
_atom_site_fract_z
_atom_site_occupancy
Pa1 0.3333 0.6667 0.2500 1
Cu1 0.0000 0.0000 0.0000 1
Ir1 0.3333 0.6667 0.7500 1
O1 0.0255 0.3529 0.6266 1
```

Output
Total magnetization = 0.0 μB per cell
E_tot = -133.9 eV for the cell shown
Raw formation energy = -1641 meV/atom